1.
DFT (PBE-GGA) results for crystalline SiTePb2 at its relaxed geometry.

Cell lengths 3.5216, 3.5216, 10.1757 Å; angles 90.00, 90.00, 114.63 degrees
With the nearest neighbours (Å) after each atom.
Positions (direct):
Te 0.5000 0.5000 0.6994  2 Si 2.67
Pb 0.0000 0.0000 0.0074  6 Pb 3.34-3.52, 2 Te 3.67
Pb 0.5000 0.5000 0.2777  2 Si 3.08, 2 Pb 3.34
Si 0.0000 0.0000 0.5155  2 Te 2.67

## Properties
Polymorph energy (0 for the lowest one) in eV/atom: 0.1459
Energy relative to the elements, uncorrected in eV per atom: 0.314
SG: No. 35

---

2.
DFT (PBE-GGA) results for crystalline MnTlGaTe3 at its relaxed geometry.

Cell lengths 3.9207, 8.8669, 10.6995 Å; angles 108.24, 90.00, 90.00 degrees
With the nearest neighbours (Å) after each atom.
Positions (direct):
Te 0.2500 0.6538 0.4165  1 Mn 2.74, 2 Ga 2.84
Te 0.7500 0.3462 0.5835  1 Mn 2.74, 2 Ga 2.84
Te 0.7500 0.4204 0.1077  3 Mn 2.74-2.76
Te 0.2500 0.5796 0.8923  3 Mn 2.74-2.76
Te 0.2500 0.1228 0.8195  1 Ga 2.74, 2 Mn 2.76
Te 0.7500 0.8772 0.1805  1 Ga 2.74, 2 Mn 2.76
Ga 0.2500 0.1076 0.5597  3 Te 2.74-2.84, 2 Ga 2.75
Ga 0.7500 0.8924 0.4403  3 Te 2.74-2.84, 2 Ga 2.75
Mn 0.7500 0.3482 0.8397  6 Te 2.74-2.76
Mn 0.2500 0.6518 0.1603  6 Te 2.74-2.76
Tl 0.7500 0.7635 0.7125  1 Ga 3.45, 7 Te 3.49-3.61
Tl 0.2500 0.2365 0.2875  1 Ga 3.45, 7 Te 3.49-3.61

## Properties
Energy relative to the elements, uncorrected in eV per atom: -0.218
SG: No. 11

---

3.
DFT (PBE-GGA) results for crystalline RbDy2Br2F5 at its relaxed geometry.

Cell lengths 3.5022, 10.2760, 10.2760 Å; angles 90.00, 90.00, 90.00 degrees
With the nearest neighbours (Å) after each atom.
Positions (direct):
Br 0.0000 0.3308 0.8308  3 Dy 2.98-3.06, 10 F 3.02-3.22
Br 0.0000 0.6692 0.1692  3 Dy 2.98-3.06, 10 F 3.02-3.22
Br 0.0000 0.8308 0.6692  3 Dy 2.98-3.06, 10 F 3.02-3.22
Br 0.0000 0.1692 0.3308  3 Dy 2.98-3.06, 10 F 3.02-3.22
F 0.5000 0.7420 0.4221  2 Dy 2.27
F 0.5000 0.4221 0.2580  2 Dy 2.27
F 0.5000 0.2420 0.0779  2 Dy 2.27
F 0.5000 0.9221 0.2420  2 Dy 2.27
F 0.5000 0.0779 0.7580  2 Dy 2.27
F 0.5000 0.5779 0.7420  2 Dy 2.27
F 0.5000 0.0000 0.5000  4 Dy 2.53, 4 F 2.77
F 0.5000 0.2580 0.5779  2 Dy 2.27
F 0.5000 0.7580 0.9221  2 Dy 2.27
F 0.5000 0.5000 0.0000  4 Dy 2.53, 4 F 2.77
Dy 0.0000 0.1258 0.6258  6 F 2.27-2.53
Dy 0.0000 0.8742 0.3742  6 F 2.27-2.53
Dy 0.0000 0.3742 0.1258  6 F 2.27-2.53
Dy 0.0000 0.6258 0.8742  6 F 2.27-2.53
Rb 0.0000 0.5000 0.5000  8 F 3.15, 2 Rb 3.50
Rb 0.0000 0.0000 0.0000  8 F 3.15, 2 Rb 3.50

## Properties
Energy relative to the elements, uncorrected in eV per atom: -3.139
SG: No. 127

---

4.
DFT (PBE-GGA) results for crystalline Hf3Pa4 at its relaxed geometry.

Cell lengths 5.4001, 8.4771, 8.4771 Å; angles 120.00, 90.00, 90.00 degrees
With the nearest neighbours (Å) after each atom.
Positions (direct):
Pa 0.7500 0.3901 0.4779  7 Pa 3.14-3.29, 5 Hf 3.20-3.35
Pa 0.2500 0.3333 0.6667  9 Pa 3.14-3.29, 3 Hf 3.31
Pa 0.2500 0.6099 0.5221  7 Pa 3.14-3.29, 5 Hf 3.20-3.35
Pa 0.2500 0.9122 0.3901  7 Pa 3.14-3.29, 5 Hf 3.20-3.35
Pa 0.2500 0.4779 0.0878  7 Pa 3.14-3.29, 5 Hf 3.20-3.35
Pa 0.7500 0.6667 0.3333  9 Pa 3.14-3.29, 3 Hf 3.31
Pa 0.7500 0.5221 0.9122  7 Pa 3.14-3.29, 5 Hf 3.20-3.35
Pa 0.7500 0.0878 0.6099  7 Pa 3.14-3.29, 5 Hf 3.20-3.35
Hf 0.7500 0.2236 0.0377  6 Hf 3.04-3.22, 6 Pa 3.20-3.35
Hf 0.7500 0.8141 0.7764  6 Hf 3.04-3.22, 6 Pa 3.20-3.35
Hf 0.2500 0.7764 0.9623  6 Hf 3.04-3.22, 6 Pa 3.20-3.35
Hf 0.7500 0.9623 0.1859  6 Hf 3.04-3.22, 6 Pa 3.20-3.35
Hf 0.2500 0.0377 0.8141  6 Hf 3.04-3.22, 6 Pa 3.20-3.35
Hf 0.2500 0.1859 0.2236  6 Hf 3.04-3.22, 6 Pa 3.20-3.35

## Properties
Formation energy from the elements in meV/atom: 107
SG: No. 176

---

5.
DFT (PBE-GGA) results for crystalline InHRh3 at its relaxed geometry.

Cell lengths 5.2793, 5.2793, 5.4771 Å; angles 90.00, 90.00, 114.86 degrees
With the nearest neighbours (Å) after each atom.
Positions (direct):
In 0.4590 0.5410 0.2500  4 Rh 2.59-2.70, 2 In 2.83, 1 H 2.87
In 0.5410 0.4590 0.7500  4 Rh 2.59-2.70, 2 In 2.83, 1 H 2.87
Rh 0.4994 0.9522 0.7500  1 H 1.75
Rh 0.0478 0.5006 0.7500  1 H 1.75
Rh 0.0000 0.0000 0.0000  2 H 1.83
Rh 0.5006 0.0478 0.2500  1 H 1.75
Rh 0.9522 0.4994 0.2500  1 H 1.75
Rh 0.0000 0.0000 0.5000  2 H 1.83
H 0.8638 0.1362 0.7500  4 Rh 1.75-1.83
H 0.1362 0.8638 0.2500  4 Rh 1.75-1.83

## Properties
Polymorph energy (0 for the lowest one) in eV/atom: 0.3167
SG: No. 63

---

6.
DFT (PBE-GGA) results for crystalline LiRePb at its relaxed geometry.

Cell lengths 4.6288, 4.6288, 2.8464 Å; angles 90.00, 90.00, 120.00 degrees
With the nearest neighbours (Å) after each atom.
Positions (direct):
Re 0.3333 0.6667 0.6498  2 Re 2.85, 3 Pb 2.87, 6 Li 2.92-3.15
Li 0.0000 0.0000 0.0659  3 Pb 2.74, 2 Li 2.85, 3 Re 2.92
Pb 0.6667 0.3333 0.2843  3 Li 2.74, 2 Pb 2.85, 3 Re 2.87

## Properties
Formation energy from the elements in meV/atom: 688
Polymorph energy (0 for the lowest one) in eV/atom: 0.0000
SG: No. 156

---

7.
DFT (PBE-GGA) results for crystalline CaLa3Bi at its relaxed geometry.

Cell lengths 6.2122, 6.2122, 6.2122 Å; angles 90.00, 90.00, 90.00 degrees
With the nearest neighbours (Å) after each atom.
Positions (direct):
Ca 0.5000 0.5000 0.5000  12 La 4.39
La 0.0000 0.5000 0.0000  2 Bi 3.11
La 0.0000 0.0000 0.5000  2 Bi 3.11
La 0.5000 0.0000 0.0000  2 Bi 3.11
Bi 0.0000 0.0000 0.0000  6 La 3.11

## Properties
Formation energy from the elements in meV/atom: 13
Polymorph energy (0 for the lowest one) in eV/atom: 0.0000
SG: No. 221

---

8.
DFT (PBE-GGA) results for crystalline Zr2ScZn9 at its relaxed geometry.

Cell lengths 5.2539, 5.2539, 8.8594 Å; angles 72.75, 72.75, 60.00 degrees
With the nearest neighbours (Å) after each atom.
Positions (direct):
Zn 0.6649 0.6649 0.0054  6 Zn 2.58-2.62
Zn 0.5882 0.5882 0.7464  7 Zn 2.57-2.68
Zn 0.4118 0.4118 0.2536  7 Zn 2.57-2.68
Zn 0.9228 0.4118 0.2536  7 Zn 2.57-2.68
Zn 0.4118 0.9228 0.2536  7 Zn 2.57-2.68
Zn 0.0772 0.5882 0.7464  7 Zn 2.57-2.68
Zn 0.5000 0.5000 0.5000  6 Zn 2.57
Zn 0.5882 0.0772 0.7464  7 Zn 2.57-2.68
Zn 0.3351 0.3351 0.9946  6 Zn 2.58-2.62
Sc 0.0000 0.0000 0.0000  18 Zn 3.03-3.37
Zr 0.8570 0.8570 0.4290  12 Zn 3.01-3.09, 3 Zr 3.26
Zr 0.1430 0.1430 0.5710  12 Zn 3.01-3.09, 3 Zr 3.26

## Properties
Formation energy from the elements in meV/atom: -257
SG: No. 166

---

9.
DFT (PBE-GGA) results for crystalline NaSiSb2As at its relaxed geometry.

Cell lengths 5.3163, 4.9317, 5.3163 Å; angles 90.00, 90.00, 90.00 degrees
With the nearest neighbours (Å) after each atom.
Positions (direct):
As 0.0000 0.5000 0.0000  2 Si 2.47
Sb 0.5000 0.0000 0.0000  2 Si 2.66
Sb 0.0000 0.0000 0.5000  2 Si 2.66
Si 0.0000 0.0000 0.0000  2 As 2.47, 4 Sb 2.66
Na 0.5000 0.5000 0.5000  8 Sb 3.63, 4 As 3.76

## Properties
Energy relative to the elements, uncorrected in eV per atom: 0.369
SG: No. 123

---

10.
DFT (PBE-GGA) results for crystalline OsPbO4F at its relaxed geometry.

Cell lengths 6.4416, 6.4416, 7.5223 Å; angles 79.35, 79.35, 73.15 degrees
With the nearest neighbours (Å) after each atom.
Positions (direct):
O 0.4810 0.4810 0.7341  1 Os 1.73
O 0.5190 0.5190 0.2659  1 Os 1.73
O 0.4736 0.1313 0.1502  1 Os 1.80
O 0.7542 0.7542 0.4947  1 Os 1.73
O 0.2458 0.2458 0.5053  1 Os 1.73
O 0.8687 0.5264 0.8498  1 Os 1.80
O 0.1313 0.4736 0.1502  1 Os 1.80
O 0.5264 0.8687 0.8498  1 Os 1.80
Pb 0.1862 0.1862 0.9083  2 F 2.30-2.34, 2 O 2.56
Pb 0.8138 0.8138 0.0917  2 F 2.30-2.34, 2 O 2.56
F 0.9802 0.9802 0.8301  2 Pb 2.30-2.34
F 0.0198 0.0198 0.1699  2 Pb 2.30-2.34
Os 0.6515 0.6515 0.7123  4 O 1.73-1.80
Os 0.3485 0.3485 0.2877  4 O 1.73-1.80

## Properties
Energy relative to the elements, uncorrected in eV per atom: -1.250
SG: No. 12

---

11.
DFT (PBE-GGA) results for crystalline KRbNa2O2 at its relaxed geometry.

Cell lengths 4.0083, 4.0083, 8.1689 Å; angles 90.00, 90.00, 120.00 degrees
With the nearest neighbours (Å) after each atom.
Positions (direct):
Rb 0.0000 0.0000 0.0000  6 O 3.16, 6 Na 3.18
O 0.3333 0.6667 0.2642  3 Na 2.31
O 0.6667 0.3333 0.7358  3 Na 2.31
K 0.0000 0.0000 0.5000  6 Na 2.99, 6 O 3.01
Na 0.6667 0.3333 0.2676  3 O 2.31
Na 0.3333 0.6667 0.7324  3 O 2.31

## Properties
Energy relative to the elements, uncorrected in eV per atom: -1.023
SG: No. 164

---

12.
DFT (PBE-GGA) results for crystalline Cs3Y3CrSe8 at its relaxed geometry.

Cell lengths 8.1770, 8.1841, 9.8296 Å; angles 114.65, 90.00, 119.97 degrees
With the nearest neighbours (Å) after each atom.
Positions (direct):
Cs 0.0000 0.5000 0.0000  6 Se 3.58-3.61
Cs 0.5000 0.5000 0.0000  6 Se 3.58-3.61
Cs 0.0000 0.0000 0.0000  6 Se 3.58-3.61
Se 0.7294 0.4588 0.6882  3 Y 2.86-2.87
Se 0.7894 0.5787 0.3262  1 Cr 2.63, 2 Y 2.89
Se 0.2473 0.0368 0.3262  1 Cr 2.63, 2 Y 2.89
Se 0.2706 0.5412 0.3118  3 Y 2.86-2.87
Se 0.7894 0.0368 0.3262  1 Cr 2.63, 2 Y 2.89
Se 0.2106 0.4213 0.6738  1 Cr 2.63, 2 Y 2.89
Se 0.7527 0.9632 0.6738  1 Cr 2.63, 2 Y 2.89
Se 0.2106 0.9632 0.6738  1 Cr 2.63, 2 Y 2.89
Cr 0.0000 0.0000 0.5000  6 Se 2.63
Y 0.5000 0.0000 0.5000  6 Se 2.87-2.89
Y 0.0000 0.5000 0.5000  6 Se 2.86-2.89
Y 0.5000 0.5000 0.5000  6 Se 2.86-2.89

## Properties
Energy relative to the elements, uncorrected in eV per atom: -1.413
SG: No. 12

---

Calculated total magnetization (μB per formula unit), listed in the same order as above: 0.00, 3.48, 0.00, 0.00, 0.00, 0.00, 0.00, 1.52, 0.00, 0.00, 0.10, 2.28